Entry 1:
The following is a GGA-PBEsol calculation of a relaxed structure of NiH16C4S4N8Cl2, from Alexandria.

Cell: 8.0414 8.0414 8.0414 Å, 108.68 108.68 111.07°
With the nearest neighbours (Å) after each atom.
Element x y z (fractional)
Ni1 0.0000 0.0000 0.0000  2 Cl 2.38-2.46, 4 S 2.40
H1 0.0129 0.0256 0.5780  1 N 1.03
H2 0.0256 0.4476 0.0127  1 N 1.03
H3 0.1396 0.3750 0.7779  1 N 1.03
H4 0.1461 0.5332 0.6677  1 N 1.02
H5 0.3616 0.1396 0.7646  1 N 1.03
H6 0.3750 0.5971 0.2354  1 N 1.03
H7 0.4349 0.0129 0.9873  1 N 1.03
H8 0.4476 0.4349 0.4220  1 N 1.03
H9 0.4784 0.1461 0.6128  1 N 1.02
H10 0.5332 0.8655 0.3872  1 N 1.02
H11 0.5971 0.3616 0.2221  1 N 1.03
H12 0.6121 0.6334 0.6751  1 N 1.03
H13 0.6334 0.9583 0.0213  1 N 1.03
H14 0.8655 0.4784 0.3323  1 N 1.02
H15 0.9370 0.6121 0.9787  1 N 1.03
H16 0.9583 0.9370 0.3249  1 N 1.03
C1 0.0664 0.2408 0.4813  2 N 1.33
C2 0.2408 0.7595 0.1744  2 N 1.33
C3 0.5851 0.0664 0.8256  2 N 1.33
C4 0.7595 0.5851 0.5187  2 N 1.33
S1 0.0621 0.2821 0.2835  1 C 1.72
S2 0.2821 0.9987 0.2201  1 C 1.72
S3 0.7786 0.0621 0.7799  1 C 1.72
S4 0.9987 0.7786 0.7165  1 C 1.72
N1 0.0168 0.0572 0.4647  2 H 1.03
N2 0.0572 0.5925 0.0404  2 H 1.03
N3 0.1247 0.3958 0.6555  2 H 1.02-1.03
N4 0.3958 0.7402 0.2710  2 H 1.02-1.03
N5 0.4692 0.1247 0.7290  2 H 1.02-1.03
N6 0.5521 0.0168 0.9596  2 H 1.03
N7 0.5925 0.5521 0.5353  2 H 1.03
N8 0.7402 0.4692 0.3445  2 H 1.02-1.03
Cl1 0.2699 0.2699 0.0000  4 H 2.33, 1 Ni 2.46
Cl2 0.7390 0.7390 0.0000  4 H 2.20, 1 Ni 2.38

Calculated values
The total energy comes out at -5.69 eV per atom.

=====

Entry 2:
The following is a GGA-PBEsol calculation of a relaxed structure of BaBO2F, from Alexandria.

Cell: 4.5599 4.5599 4.9547 Å, 90.00 90.00 90.00°
With the nearest neighbours (Å) after each atom.
Element x y z (fractional)
Ba1 0.0000 0.0000 0.0000  4 O 2.28, 2 F 2.48
B1 0.5000 0.5000 0.5000  4 F 3.22, 8 O 3.37
O1 0.0000 0.5000 0.0000  2 Ba 2.28
O2 0.5000 0.0000 0.0000  2 Ba 2.28
F1 0.0000 0.0000 0.5000  2 Ba 2.48

Calculated values
For the uncorrected formation energy, the calculation gives 0.198 eV/atom.